# Tm2Hg3Pb3

Crystalline Tm2Hg3Pb3 at its relaxed geometry (PBE, Alexandria).

Cell and atoms, written as POSCAR:
```
Tm2Hg3Pb3
1.0
4.729 0.000 0.000
0.000 4.767 0.000
0.000 0.000 9.197
Tm Hg Pb
2 3 3
Direct
0.000 0.000 0.246 Tm
0.000 0.000 0.754 Tm
0.000 0.500 0.000 Hg
0.500 0.500 0.242 Hg
0.500 0.500 0.758 Hg
0.000 0.500 0.500 Pb
0.500 0.000 0.000 Pb
0.500 0.000 0.500 Pb
```

## Properties
D(E_F): 0.295 states/eV per atom
M_tot: 0.00 μB per formula unit
energy relative to the elements: -282 meV/atom
space group: Pmmm (47)



# SmZnHg6

Crystalline SmZnHg6 at its relaxed geometry (PBE, Alexandria).

Cell and atoms, written as POSCAR:
```
SmZnHg6
1.0
3.147 1.817 7.909
-3.147 1.817 7.909
0.000 -3.634 7.909
Sm Zn Hg
1 1 6
Direct
0.000 0.000 0.000 Sm
0.500 0.500 0.500 Zn
0.069 0.069 0.553 Hg
0.069 0.553 0.069 Hg
0.447 0.931 0.931 Hg
0.553 0.069 0.069 Hg
0.931 0.447 0.931 Hg
0.931 0.931 0.447 Hg
```

## Properties
D(E_F): 0.502 states/eV per atom
M_tot: 0.00 μB per formula unit
energy relative to the elements: 136 meV/atom
space group: R-3m (166)